VASP calculation (GGA-PBE) on a relaxed structure of Zr2Cr2Hg.

Properties
E ... -0.266 hartree per atom
Space group ... P4/mbm
M_tot ... 0.0 μB per cell
ΔE_f ... 0.100 eV/atom

Unit cell a=6.849 b=6.849 c=3.905 alpha=90.00 beta=90.00 gamma=90.00
Sites, in units of the cell vectors:
Zr 0.181 0.319 0.000
Zr 0.319 0.819 0.000
Zr 0.681 0.181 0.000
Zr 0.819 0.681 0.000
Cr 0.102 0.602 0.500
Cr 0.398 0.102 0.500
Cr 0.602 0.898 0.500
Cr 0.898 0.398 0.500
Hg 0.000 0.000 0.500
Hg 0.500 0.500 0.500